1.
DFT (PBE) results for a geometry-optimized Nd4Dy2Tm5 structure.

SG = C2/m
magnetic moment = 0.000 μB per atom
energy = -4.498 eV/atom
D(E_F) = 16.39 states/eV/cell

Lattice parameters (Å, degrees): 9.9590 9.9590 6.5962 90.87 90.87 32.93
Fractional coordinates of all 11 atoms:
Nd1 0.0219 0.0219 0.2847
Nd2 0.3061 0.3061 0.9254
Nd3 0.6939 0.6939 0.0746
Nd4 0.9781 0.9781 0.7153
Dy1 0.4012 0.4012 0.4440
Dy2 0.5988 0.5988 0.5560
Tm1 0.1307 0.1307 0.8861
Tm2 0.2094 0.2094 0.4013
Tm3 0.5000 0.5000 0.0000
Tm4 0.7906 0.7906 0.5987
Tm5 0.8693 0.8693 0.1139



2.
DFT (PBE) results for a geometry-optimized NdDy6Tm5 structure.

SG = Cmmm
magnetic moment = 0.000 μB per atom
energy = -4.539 eV/atom
D(E_F) = 16.22 states/eV/cell

Lattice parameters (Å, degrees): 7.8975 7.8975 9.9862 90.00 90.00 143.20
Fractional coordinates of all 12 atoms:
Nd1 0.0000 0.0000 0.0000
Dy1 0.1670 0.8330 0.2520
Dy2 0.1670 0.8330 0.7480
Dy3 0.5000 0.5000 0.2525
Dy4 0.5000 0.5000 0.7475
Dy5 0.8330 0.1670 0.2520
Dy6 0.8330 0.1670 0.7480
Tm1 0.0000 0.0000 0.5000
Tm2 0.3319 0.6681 0.0000
Tm3 0.3334 0.6666 0.5000
Tm4 0.6666 0.3334 0.5000
Tm5 0.6681 0.3319 0.0000



- Which of these has the highest D(E_F)?
  Nd4Dy2Tm5